Record 1
Here is Sc3Tc5 after structural relaxation from Alexandria via LeMat-Bulk. Energies are from PBE.

Computed properties:
DFT formation energy ... -0.103 eV per atom
DOS(E_F) ... 17.428 states/eV/cell
Theoretical density ... 7984 kg/m3
Total magnetic moment ... 0.00 μB/f.u.

Lattice parameters (Å, degrees): 6.422 9.012 4.491 90.00 90.00 90.00
Space group Cmmm (No. 65)
Asymmetric unit:
Sc (0.000, 0.000, 0.000)
Sc (0.000, 0.247, 0.500)
Tc (0.000, 0.500, 0.000)
Tc (0.230, 0.500, 0.500)
Tc (0.250, 0.250, 0.000)


Record 2
Here is ScTc after structural relaxation from Alexandria via LeMat-Bulk. Energies are from PBE.

Computed properties:
DFT formation energy ... 0.080 eV per atom
DOS(E_F) ... 9.043 states/eV/cell
Theoretical density ... 6150 kg/m3
Total magnetic moment ... 0.00 μB/f.u.

Lattice parameters (Å, degrees): 4.4296 4.4296 9.0859 90.00 90.00 120.00
Space group P6_3/mmc (No. 194)
Asymmetric unit:
Sc (0.3333, 0.6667, 0.0861)
Tc (0.0000, 0.0000, 0.2500)
Tc (0.3333, 0.6667, 0.7500)


Record 3
Here is ScTc5 after structural relaxation from Alexandria via LeMat-Bulk. Energies are from PBE.

Computed properties:
DFT formation energy ... 0.051 eV per atom
DOS(E_F) ... 29.145 states/eV/cell
Theoretical density ... 9225 kg/m3
Total magnetic moment ... 0.00 μB/f.u.

Lattice parameters (Å, degrees): 7.276 7.276 7.276 90.00 90.00 90.00
Space group F-43m (No. 216)
Asymmetric unit:
Sc (0.000, 0.000, 0.000)
Tc (0.126, 0.126, 0.374)
Tc (0.250, 0.250, 0.750)


Record 4
Here is ScTc after structural relaxation from Alexandria via LeMat-Bulk. Energies are from PBE.

Computed properties:
DFT formation energy ... 0.591 eV per atom
DOS(E_F) ... 12.182 states/eV/cell
Theoretical density ... 6195 kg/m3
Total magnetic moment ... 0.00 μB/f.u.

Lattice parameters (Å, degrees): 5.353 5.353 5.349 90.00 90.00 90.00
Space group P4_2/mnm (No. 136)
Asymmetric unit:
Sc (0.198, 0.198, 0.000)
Tc (0.173, 0.173, 0.500)


Record 5
Here is ScTc3 after structural relaxation from Alexandria via LeMat-Bulk. Energies are from PBE.

Computed properties:
DFT formation energy ... -0.007 eV per atom
DOS(E_F) ... 16.792 states/eV/cell
Theoretical density ... 8774 kg/m3
Total magnetic moment ... 0.00 μB/f.u.

Lattice parameters (Å, degrees): 5.249 9.199 5.314 90.00 90.00 90.00
Space group Pnma (No. 62)
Asymmetric unit:
Sc (0.008, 0.250, 0.143)
Tc (0.052, 0.750, 0.348)
Tc (0.218, 0.022, 0.617)


Record 6
Here is ScTc after structural relaxation from Alexandria via LeMat-Bulk. Energies are from PBE.

Computed properties:
DFT formation energy ... -0.088 eV per atom
DOS(E_F) ... 11.647 states/eV/cell
Theoretical density ... 6623 kg/m3
Total magnetic moment ... 0.00 μB/f.u.

Lattice parameters (Å, degrees): 10.260 3.170 7.081 90.00 110.92 90.00
Space group C2/m (No. 12)
Asymmetric unit:
Sc (0.000, 0.000, 0.000)
Sc (0.171, 0.500, 0.788)
Tc (0.000, 0.000, 0.500)
Tc (0.161, 0.500, 0.359)


Record 7
Here is ScTc3 after structural relaxation from Alexandria via LeMat-Bulk. Energies are from PBE.

Computed properties:
DFT formation energy ... 0.209 eV per atom
DOS(E_F) ... 4.449 states/eV/cell
Theoretical density ... 8892 kg/m3
Total magnetic moment ... 0.00 μB/f.u.

Lattice parameters (Å, degrees): 3.985 3.985 3.985 90.00 90.00 90.00
Space group Pm-3m (No. 221)
Asymmetric unit:
Sc (0.000, 0.000, 0.000)
Tc (0.000, 0.500, 0.500)


Record 8
Here is Sc5Tc after structural relaxation from Alexandria via LeMat-Bulk. Energies are from PBE.

Computed properties:
DFT formation energy ... 0.687 eV per atom
DOS(E_F) ... 6.597 states/eV/cell
Theoretical density ... 3934 kg/m3
Total magnetic moment ... 0.00 μB/f.u.

Lattice parameters (Å, degrees): 5.3696 5.3696 5.4566 90.00 90.00 120.00
Space group P6/mmm (No. 191)
Asymmetric unit:
Sc (0.0000, 0.5000, 0.0000)
Sc (0.3333, 0.6667, 0.5000)
Tc (0.0000, 0.0000, 0.5000)